a | Entry from Alexandria via LeMat-Bulk: crystalline Na3YB at its relaxed geometry (PBE-GGA).

Unit cell a=5.1460 b=5.1460 c=5.1460 alpha=90.00 beta=90.00 gamma=90.00
Closest atoms and distances in Å follow each position.
Element x y z (fractional)
Na1 0.0000 0.0000 0.5000  2 B 2.57
Na2 0.0000 0.5000 0.0000  2 B 2.57
Na3 0.5000 0.0000 0.0000  2 B 2.57
Y1 0.5000 0.5000 0.5000  12 Na 3.64
B1 0.0000 0.0000 0.0000  6 Na 2.57

Results
- size of the total moment (Bohr magnetons per cell) = 0.6
- V (Å³/atom) = 27.25

---

b | Entry from Alexandria via LeMat-Bulk: crystalline Na3YB at its relaxed geometry (PBE-GGA).

Unit cell a=6.4891 b=6.4891 c=6.4891 alpha=90.00 beta=90.00 gamma=90.00
Closest atoms and distances in Å follow each position.
Element x y z (fractional)
Na1 0.0000 0.0000 0.5000  2 Y 3.24
Na2 0.0000 0.5000 0.0000  2 Y 3.24
Na3 0.5000 0.0000 0.0000  2 Y 3.24
Y1 0.0000 0.0000 0.0000  6 Na 3.24
B1 0.5000 0.5000 0.5000  12 Na 4.59

Results
- size of the total moment (Bohr magnetons per cell) = 0.2
- V (Å³/atom) = 54.65

---

Which of them is most stable? Easy: a.

---

a | Entry from Alexandria via LeMat-Bulk: crystalline NaYB2 at its relaxed geometry (PBE-GGA).

Unit cell a=8.8176 b=8.8176 c=8.8176 alpha=154.15 beta=154.15 gamma=36.88
Closest atoms and distances in Å follow each position.
Element x y z (fractional)
Na1 0.3750 0.6250 0.7500  4 B 2.31
Na2 0.6250 0.3750 0.2500  4 B 2.31
Y1 0.1250 0.8750 0.2500  4 Na 2.79, 8 B 3.04
Y2 0.8750 0.1250 0.7500  4 Na 2.79, 8 B 3.04
B1 0.0000 0.5000 0.5000  2 B 1.97
B2 0.5000 0.0000 0.0000  2 B 1.97
B3 0.5000 0.5000 0.0000  2 B 1.97
B4 0.5000 0.5000 0.5000  2 B 1.97

Results
- size of the total moment (Bohr magnetons per cell) = 0.0
- V (Å³/atom) = 16.26

---

b | Entry from Alexandria via LeMat-Bulk: crystalline NaYB2 at its relaxed geometry (PBE-GGA).

Unit cell a=4.4343 b=4.4343 c=4.4343 alpha=60.00 beta=60.00 gamma=60.00
Closest atoms and distances in Å follow each position.
Element x y z (fractional)
Na1 0.0000 0.0000 0.0000  8 B 2.72
Y1 0.5000 0.5000 0.5000  8 B 2.72
B1 0.2500 0.2500 0.2500  4 Na 2.72, 4 Y 2.72
B2 0.7500 0.7500 0.7500  4 Na 2.72, 4 Y 2.72

Results
- size of the total moment (Bohr magnetons per cell) = 0.0
- V (Å³/atom) = 15.41

---

Which of them is most stable? Easy: b.